<A>
Computed, not measured: crystalline KRbSn2 at its relaxed geometry at the GGA-PBE level of DFT.

a b c (Å): 7.2429 8.1591 11.1221
angles (deg): 90.00 90.00 90.00
Closest atoms and distances in Å follow each position.
Space group Pnma (No. 62)
Asymmetric unit:
1 K 0.1511 0.2500 0.1347  8 Sn 3.65-4.06, 1 Rb 4.02
2 Rb 0.0026 0.2500 0.7860  2 Rb 3.71, 6 Sn 3.90-4.12, 1 K 4.02
3 Sn 0.1616 0.0766 0.4465  2 Sn 2.83-2.91



<B>
Computed, not measured: crystalline KRbSn2 at its relaxed geometry at the GGA-PBE level of DFT.

a b c (Å): 8.4502 8.4502 8.4502
angles (deg): 90.00 90.00 90.00
Closest atoms and distances in Å follow each position.
Space group Fm-3m (No. 225)
Asymmetric unit:
1 K 0.0000 0.0000 0.0000  8 Sn 3.66
2 Rb 0.0000 0.0000 0.5000  8 Sn 3.66
3 Sn 0.2500 0.2500 0.2500  4 K 3.66, 4 Rb 3.66



<C>
Computed, not measured: crystalline KRbSn2 at its relaxed geometry at the GGA-PBE level of DFT.

a b c (Å): 10.2405 10.2405 6.1693
angles (deg): 90.00 90.00 90.00
Closest atoms and distances in Å follow each position.
Space group I-42d (No. 122)
Asymmetric unit:
1 K 0.0000 0.0000 0.0000  2 Rb 3.08
2 Rb 0.0000 0.0000 0.5000  2 K 3.08
3 Sn 0.2420 0.2500 0.1250  2 Sn 3.09



Relative energies, meV/atom: <A> 0; <B> 321; <C> 343.



<A>
Computed, not measured: crystalline K3RbSn at its relaxed geometry at the GGA-PBE level of DFT.

a b c (Å): 7.0026 7.0026 7.0026
angles (deg): 90.00 90.00 90.00
Closest atoms and distances in Å follow each position.
Space group Pm-3m (No. 221)
Asymmetric unit:
1 K 0.0000 0.0000 0.5000  2 Rb 3.50
2 Rb 0.0000 0.0000 0.0000  6 K 3.50
3 Sn 0.5000 0.5000 0.5000  12 K 4.95



<B>
Computed, not measured: crystalline K3RbSn at its relaxed geometry at the GGA-PBE level of DFT.

a b c (Å): 6.9428 6.9428 6.9428
angles (deg): 90.00 90.00 90.00
Closest atoms and distances in Å follow each position.
Space group Pm-3m (No. 221)
Asymmetric unit:
1 K 0.0000 0.0000 0.5000  2 Sn 3.47
2 Rb 0.5000 0.5000 0.5000  12 K 4.91
3 Sn 0.0000 0.0000 0.0000  6 K 3.47



Relative energies, meV/atom: <A> 563; <B> 0.



<A>
Computed, not measured: crystalline KRb2TlSn at its relaxed geometry at the GGA-PBE level of DFT.

a b c (Å): 6.9393 6.9393 6.1075
angles (deg): 90.00 90.00 90.00
Closest atoms and distances in Å follow each position.
Space group P4/mmm (No. 123)
Asymmetric unit:
1 K 0.0000 0.0000 0.0000  2 Sn 3.05
2 Rb 0.0000 0.5000 0.0000  2 K 3.47
3 Tl 0.5000 0.5000 0.5000  8 Rb 4.62, 4 Sn 4.91
4 Sn 0.0000 0.0000 0.5000  2 K 3.05



<B>
Computed, not measured: crystalline KRb2TlSn at its relaxed geometry at the GGA-PBE level of DFT.

a b c (Å): 7.3260 7.3260 5.8114
angles (deg): 90.00 90.00 90.00
Closest atoms and distances in Å follow each position.
Space group P4/mmm (No. 123)
Asymmetric unit:
1 K 0.0000 0.0000 0.0000  8 Rb 4.68, 4 Tl 5.18
2 Rb 0.0000 0.5000 0.5000  2 Sn 3.66
3 Tl 0.5000 0.5000 0.0000  2 Sn 2.91
4 Sn 0.5000 0.5000 0.5000  2 Tl 2.91



Relative energies, meV/atom: <A> 387; <B> 0.



<A>
Computed, not measured: crystalline K2RbZnSn at its relaxed geometry at the GGA-PBE level of DFT.

a b c (Å): 6.6437 6.6437 5.2023
angles (deg): 90.00 90.00 90.00
Closest atoms and distances in Å follow each position.
Space group P4/mmm (No. 123)
Asymmetric unit:
1 K 0.0000 0.5000 0.0000  2 Zn 3.32
2 Rb 0.0000 0.0000 0.5000  8 K 4.22, 4 Sn 4.70
3 Zn 0.5000 0.5000 0.0000  2 Sn 2.60
4 Sn 0.5000 0.5000 0.5000  2 Zn 2.60



<B>
Computed, not measured: crystalline K2RbZnSn at its relaxed geometry at the GGA-PBE level of DFT.

a b c (Å): 7.0191 7.0191 5.2449
angles (deg): 90.00 90.00 90.00
Closest atoms and distances in Å follow each position.
Space group P4/mmm (No. 123)
Asymmetric unit:
1 K 0.0000 0.5000 0.0000  2 Sn 3.51
2 Rb 0.0000 0.0000 0.5000  8 K 4.38
3 Zn 0.5000 0.5000 0.5000  2 Sn 2.62
4 Sn 0.5000 0.5000 0.0000  2 Zn 2.62



Relative energies, meV/atom: <A> 0; <B> 31.